A geometry-optimized CrPO5 structure, computed with GGA+U.

## Properties
Spin magnetization: 0.142 μB per atom
D(E_F): 1.37 states/eV/f.u.
Relative energy among the computed polymorphs: 17 meV/atom

Unit cell a=5.2412 b=8.3226 c=9.4643 alpha=103.32 beta=99.83 gamma=91.52
Space group P-1 (No. 2)
Inequivalent atoms, fractional coordinates:
Cr  0.1919  0.2621  0.4173
Cr  0.2835  0.7707  0.0630
P  0.1820  0.0104  0.8193
P  0.2771  0.4176  0.1476
O  0.0078  0.6322  0.9191
O  0.0379  0.8738  0.1856
O  0.1018  0.8504  0.6848
O  0.1326  0.3781  0.5650
O  0.2298  0.9479  0.9614
O  0.3244  0.3798  0.3067
O  0.3297  0.6069  0.1771
O  0.3995  0.1391  0.4602
O  0.4352  0.0862  0.7950
O  0.4666  0.3249  0.0598